{"formula": "PrSm2Y7", "functional": "GGA-PBE", "state": "optimized geometry", "lattice": [[4.398, -8.106, 0.000], [4.398, 8.106, 0.000], [0.000, 0.000, 5.627]], "species": ["Pr", "Sm", "Sm", "Y", "Y", "Y", "Y", "Y", "Y", "Y"], "fractional_positions": [[0.000, 0.000, 0.000], [0.297, 0.703, 0.500], [0.703, 0.297, 0.500], [0.062, 0.293, 0.500], [0.221, 0.779, 0.000], [0.293, 0.062, 0.500], [0.500, 0.500, 0.500], [0.707, 0.938, 0.500], [0.779, 0.221, 0.000], [0.938, 0.707, 0.500]], "total_magnetization_mub_per_cell": 0.00, "formation_enthalpy_0k_ev_per_atom": 0.69}